Crystalline Ti2CO at its relaxed geometry, computed with GGA-PBE.

Properties
Energy above the most stable polymorph in this dataset: 0.0 meV/atom
Magnetization: 0.00 μB per formula unit
Formation energy from raw total energies: -1.73 eV/atom
Crystal system: tetragonal

Unit cell a=4.2925 b=4.2925 c=5.3337 alpha=66.27 beta=66.27 gamma=90.00
Last column: nearest neighbours and their distance in Å.
Fractional coordinates of all 8 atoms:
Ti 0.8615 0.1114 0.2771  3 C 2.07-2.15, 3 O 2.15-2.31
Ti 0.6114 0.3615 0.7771  3 C 2.07-2.15, 3 O 2.15-2.31
Ti 0.3886 0.6385 0.2229  3 C 2.07-2.15, 3 O 2.15-2.31
Ti 0.1385 0.8886 0.7229  3 C 2.07-2.15, 3 O 2.15-2.31
C 0.6250 0.8750 0.7500  6 Ti 2.07-2.15
C 0.3750 0.1250 0.2500  6 Ti 2.07-2.15
O 0.8750 0.6250 0.2500  6 Ti 2.15-2.31
O 0.1250 0.3750 0.7500  6 Ti 2.15-2.31

***

Crystalline Ca3Th2UAs6 at its relaxed geometry, computed with GGA-PBE.

Properties
Magnetization: 1.85 μB per formula unit
Calculated formation energy: -1.22 eV/atom
Crystal system: monoclinic

Unit cell a=7.3703 b=7.3703 c=7.2991 alpha=99.69 beta=99.69 gamma=119.99
Last column: nearest neighbours and their distance in Å.
Fractional coordinates of all 12 atoms:
As 0.2442 0.2442 0.7631  1 U 2.89, 2 Th 2.98, 3 Ca 3.04-3.11
As 0.4032 0.0792 0.2378  1 U 2.89, 2 Th 2.98, 3 Ca 3.02-3.09
As 0.5968 0.9208 0.7622  1 U 2.89, 2 Th 2.98, 3 Ca 3.02-3.09
As 0.9208 0.5968 0.7622  1 U 2.89, 2 Th 2.98, 3 Ca 3.02-3.09
As 0.7558 0.7558 0.2369  1 U 2.89, 2 Th 2.98, 3 Ca 3.04-3.11
As 0.0792 0.4032 0.2378  1 U 2.89, 2 Th 2.98, 3 Ca 3.02-3.09
Ca 0.1685 0.8315 0.5000  6 As 3.02-3.09
Ca 0.5000 0.5000 0.5000  6 As 3.02-3.11
Ca 0.8315 0.1685 0.5000  6 As 3.02-3.09
Th 0.6664 0.3336 0.0000  6 As 2.98
Th 0.3336 0.6664 0.0000  6 As 2.98
U 0.0000 0.0000 0.0000  6 As 2.89